GGA+U LiMnPO4, relaxed; density of states at the Fermi level = 0.000 states/eV/cell; space-group type = No. 4; energy relative to the lowest polymorph listed for this composition = 0.032 eV/atom
1.0
7.972 0.000 0.000
0.000 5.004 0.000
-1.719 0.000 8.332
Li Mn P O
4 4 4 16
direct
0.134 0.000 0.043
0.347 0.424 0.544
0.653 0.924 0.456
0.866 0.500 0.957
0.029 0.944 0.677
0.486 0.357 0.225
0.514 0.857 0.775
0.971 0.444 0.323
0.229 0.506 0.880
0.259 0.955 0.404
0.741 0.455 0.596
0.771 0.006 0.120
0.070 0.679 0.896
0.112 0.110 0.465
0.180 0.207 0.855
0.212 0.657 0.376
0.291 0.616 0.728
0.292 0.082 0.247
0.374 0.554 0.026
0.424 0.001 0.536
0.576 0.501 0.464
0.626 0.054 0.974
0.708 0.582 0.753
0.709 0.116 0.272
0.788 0.157 0.624
0.820 0.707 0.145
0.888 0.610 0.535
0.930 0.179 0.104